Entry from Alexandria: crystalline AlTlTe2 at its relaxed geometry (GGA-PBE).

D(E_F): 0.000 states/eV per cell
Total DFT energy (no corrections): -55.69 eV per cell
Raw formation energy: -0.383 eV/atom

a = 8.256 Å, b = 9.607 Å, c = 7.194 Å
α = 90.00°, β = 90.00°, γ = 90.00°
Atoms (fractional coordinates):
Tl: 0.106 0.471 0.183
Tl: 0.894 0.529 0.683
Tl: 0.394 0.971 0.683
Tl: 0.606 0.029 0.183
Te: 0.282 0.786 0.083
Te: 0.718 0.214 0.583
Te: 0.218 0.286 0.583
Te: 0.782 0.714 0.083
Te: 0.027 0.867 0.559
Te: 0.973 0.133 0.059
Te: 0.473 0.367 0.059
Te: 0.527 0.633 0.559
Al: 0.006 0.877 0.925
Al: 0.994 0.123 0.425
Al: 0.494 0.377 0.425
Al: 0.506 0.623 0.925


Entry from Alexandria: crystalline Cs2RbHg7Pd2 at its relaxed geometry (GGA-PBE).

D(E_F): 2.746 states/eV per cell
Total DFT energy (no corrections): -18.28 eV per cell
Formation energy: -259 meV per atom

a = 5.449 Å, b = 5.449 Å, c = 15.330 Å
α = 79.75°, β = 79.75°, γ = 89.91°
Atoms (fractional coordinates):
Cs: 0.816 0.816 0.367
Cs: 0.184 0.184 0.633
Rb: 0.000 0.000 0.000
Hg: 0.500 0.500 0.000
Hg: 0.314 0.314 0.371
Hg: 0.686 0.686 0.629
Hg: 0.910 0.408 0.184
Hg: 0.408 0.910 0.184
Hg: 0.592 0.090 0.816
Hg: 0.090 0.592 0.816
Pd: 0.591 0.591 0.816
Pd: 0.409 0.409 0.184


Entry from Alexandria: crystalline LuZnSn at its relaxed geometry (GGA-PBE).

D(E_F): 0.963 states/eV per cell
Total DFT energy (no corrections): -11.02 eV per cell
Formation energy: -409 meV per atom

a = 3.403 Å, b = 4.701 Å, c = 4.701 Å
α = 120.00°, β = 90.00°, γ = 90.00°
Atoms (fractional coordinates):
Zn: 0.167 0.667 0.333
Lu: 0.667 0.333 0.667
Sn: 0.166 0.000 0.000


Entry from Alexandria: crystalline Li3Tm2Pd8 at its relaxed geometry (GGA-PBE).

D(E_F): 6.529 states/eV per cell
Total DFT energy (no corrections): -61.44 eV per cell
Formation energy: -401 meV per atom

a = 5.358 Å, b = 5.358 Å, c = 9.704 Å
α = 73.97°, β = 73.97°, γ = 60.00°
Atoms (fractional coordinates):
Li: 0.000 0.000 0.000
Li: 0.809 0.809 0.573
Li: 0.191 0.191 0.427
Tm: 0.627 0.627 0.119
Tm: 0.373 0.373 0.881
Pd: 0.723 0.723 0.830
Pd: 0.277 0.277 0.170
Pd: 0.213 0.715 0.356
Pd: 0.715 0.213 0.356
Pd: 0.715 0.715 0.356
Pd: 0.285 0.787 0.644
Pd: 0.787 0.285 0.644
Pd: 0.285 0.285 0.644


Entry from Alexandria: crystalline Th2GaGe at its relaxed geometry (GGA-PBE).

D(E_F): 6.975 states/eV per cell
Total DFT energy (no corrections): -50.10 eV per cell
Formation energy: -642 meV per atom

a = 4.166 Å, b = 6.017 Å, c = 8.856 Å
α = 111.63°, β = 90.00°, γ = 90.00°
Atoms (fractional coordinates):
Th: 0.750 0.221 0.428
Th: 0.250 0.779 0.572
Th: 0.250 0.782 0.068
Th: 0.750 0.218 0.932
Ga: 0.750 0.660 0.289
Ga: 0.250 0.340 0.711
Ge: 0.250 0.344 0.210
Ge: 0.750 0.656 0.790


Entry from Alexandria: crystalline Na2PuBeO6 at its relaxed geometry (GGA-PBE).

Total DFT energy (no corrections): -68.80 eV per cell
Raw formation energy: -1.835 eV/atom

a = 5.003 Å, b = 5.614 Å, c = 5.614 Å
α = 120.00°, β = 90.00°, γ = 90.00°
Each line ends with the local moment (μB).
Atoms (fractional coordinates):
Na: 0.096 0.333 0.667  0.00
Na: 0.904 0.667 0.333  0.00
Pu: 0.500 0.000 0.000  -0.17
Be: 0.000 0.000 0.000  0.00
O: 0.768 0.149 0.299  0.03
O: 0.768 0.149 0.851  0.03
O: 0.768 0.701 0.851  0.03
O: 0.232 0.851 0.149  0.03
O: 0.232 0.299 0.149  0.03
O: 0.232 0.851 0.701  0.03